[1]
Entry from Alexandria via LeMat-Bulk: an optimized crystal structure of LiCdBr2 (PBE).

**Electronic total energy**: -9.46 eV for the cell shown
**Calculated density**: 4.5 Mg/m³
**Crystal system**: monoclinic
**Space-group type**: C2/m, No. 12
**Spin magnetization**: 0.0000 μB per atom
**N(E_F)**: 0.819 states/eV per atom
**Formation energy from raw total energies**: -0.82 eV/atom

```
LiCdBr2
1.0
4.0623 -0.0533 0.0416
2.0691 3.4963 0.0416
1.9864 1.1154 7.2019
Br Cd Li
2 1 1
Direct
0.9862 0.9862 0.0419 Br
0.5138 0.5138 0.4581 Br
0.7500 0.7500 0.7500 Cd
0.2500 0.2500 0.2500 Li
```

=====

[2]
Entry from Alexandria via LeMat-Bulk: an optimized crystal structure of La2Pr5Sm2 (PBE).

**Electronic total energy**: -83.25 eV for the cell shown
**Calculated density**: 6.5 Mg/m³
**Crystal system**: orthorhombic
**Space-group type**: Ima2, No. 46
**ΔE_f**: 0.174 eV per atom
**Spin magnetization**: 0.0000 μB per atom
**N(E_F)**: 1.610 states/eV per atom

```
La2Pr5Sm2
1.0
-9.8270 4.2659 5.8070
-2.9254 -6.3495 -0.2861
9.5734 -0.7338 3.9546
La Pr Sm
4 10 4
Direct
0.1294 0.6857 0.2510 La
0.8706 0.4347 0.7490 La
0.6216 0.1857 0.2510 La
0.3784 0.9347 0.7490 La
0.1981 0.6555 0.8926 Pr
0.8019 0.7629 0.1074 Pr
0.1946 0.1555 0.8926 Pr
0.8054 0.2629 0.1074 Pr
0.3758 0.0234 0.2862 Pr
0.6242 0.7372 0.7138 Pr
0.4104 0.5234 0.2862 Pr
0.5896 0.2372 0.7138 Pr
0.0125 0.6627 0.5000 Pr
0.9875 0.1627 0.5000 Pr
0.0000 0.0290 0.0000 Sm
0.5000 0.5290 0.0000 Sm
0.2558 0.3450 0.5000 Sm
0.7442 0.8450 0.5000 Sm
```

=====

[3]
Entry from Alexandria via LeMat-Bulk: an optimized crystal structure of MoCCl2 (PBE).

**Electronic total energy**: -18.06 eV for the cell shown
**Calculated density**: 4.4 Mg/m³
**Crystal system**: trigonal
**Space-group type**: R-3m, No. 166
**Spin magnetization**: 0.0000 μB per atom
**N(E_F)**: 0.593 states/eV per atom
**Formation energy from raw total energies**: 1.42 eV/atom

```
MoCCl2
1.0
-2.6490 -4.3440 6.5815
-2.8647 -6.4767 4.3646
-0.1665 -5.9858 5.7747
Mo C Cl
1 1 2
Direct
0.5000 0.5000 0.5000 Mo
0.0000 0.0000 0.0000 C
0.9049 0.9049 0.9049 Cl
0.0951 0.0951 0.0951 Cl
```